Entry 1:
VASP calculation (GGA-PBE) on LiHoCu2 after structural relaxation.

abc: 3.3370 3.3370 6.1450
angles: 90.00 90.00 90.00
Positions (direct):
Cu (0.0000, 0.0000, 0.7925)
Cu (0.0000, 0.0000, 0.2075)
Li (0.5000, 0.5000, 0.0000)
Ho (0.5000, 0.5000, 0.5000)

Computed properties:
The value obtained for the energy is -15.05 eV per formula unit. The formation enthalpy at 0 K comes out at -0.09 eV per atom. The energy above the most stable polymorph in this dataset comes out at 13 kJ/mol of formula units. The symmetry is No. 123. The spin magnetization is 0.00 Bohr magnetons per cell.

---

Entry 2:
VASP calculation (GGA-PBE) on Li2HoCu4 after structural relaxation.

abc: 4.7478 5.2776 5.2776
angles: 77.97 63.21 63.21
Positions (direct):
Cu (0.3095, 0.3812, 0.0000)
Cu (0.6906, 0.6188, 0.0000)
Cu (0.6906, 0.0000, 0.6188)
Cu (0.3094, 0.0000, 0.3812)
Li (0.2495, 0.5004, 0.5004)
Li (0.7504, 0.4996, 0.4996)
Ho (0.0000, 0.0000, 0.0000)

Computed properties:
The value obtained for the energy is -25.83 eV per formula unit. The formation enthalpy at 0 K comes out at -0.15 eV per atom. The symmetry is No. 71. The spin magnetization is 0.00 Bohr magnetons per cell.

---

Entry 3:
VASP calculation (GGA-PBE) on Li2Ho3Cu7 after structural relaxation.

abc: 5.2552 5.2552 8.6940
angles: 72.41 72.41 60.00
Positions (direct):
Cu (0.0821, 0.5837, 0.7505)
Cu (0.5837, 0.5837, 0.7505)
Cu (0.5000, 0.5000, 0.5000)
Cu (0.4163, 0.4163, 0.2495)
Cu (0.9179, 0.4163, 0.2495)
Cu (0.4163, 0.9179, 0.2495)
Cu (0.5837, 0.0821, 0.7505)
Ho (0.0000, 0.0000, 0.0000)
Ho (0.8614, 0.8614, 0.4157)
Ho (0.1386, 0.1386, 0.5843)
Li (0.6676, 0.6676, 0.9971)
Li (0.3324, 0.3324, 0.0029)

Computed properties:
The value obtained for the energy is -48.09 eV per formula unit. The formation enthalpy at 0 K comes out at -0.15 eV per atom. The symmetry is No. 166. The spin magnetization is 0.00 Bohr magnetons per cell.